# 1
A PBEsol-optimized structure of LaZrHg2. Source: Alexandria via LeMat-Bulk, functional SCAN.

Values from the calculation:
Formation energy   -0.47 eV/atom
V   95.6 Å³ per cell
Energy   -53.01 eV per atom
Size of the total moment   0.2 Bohr magnetons per cell

Structure (CIF):
```
data_LaZrHg2
_space_group_name_H-M_alt 'P 1'
_space_group_IT_number 1
_space_group_name_Hall 'P 1'
_cell_length_a 3.192
_cell_length_b 4.162
_cell_length_c 7.193
_cell_angle_alpha 90.00
_cell_angle_beta 90.00
_cell_angle_gamma 90.00
loop_
_atom_site_label
_atom_site_type_symbol
_atom_site_fract_x
_atom_site_fract_y
_atom_site_fract_z
La1 La 0.000 0.000 0.000
Zr1 Zr 0.000 0.000 0.500
Hg1 Hg 0.500 0.500 0.286
Hg2 Hg 0.500 0.500 0.714
```

***

# 2
A PBEsol-optimized structure of LaZr2Hg2. Source: Alexandria via LeMat-Bulk, functional SCAN.

Values from the calculation:
Formation energy   -0.30 eV/atom
V   125.1 Å³ per cell
Energy   -48.47 eV per atom
Size of the total moment   0.0 Bohr magnetons per cell

Structure (CIF):
```
data_LaZr2Hg2
_space_group_name_H-M_alt 'P 1'
_space_group_IT_number 1
_space_group_name_Hall 'P 1'
_cell_length_a 7.515
_cell_length_b 7.515
_cell_length_c 7.515
_cell_angle_alpha 147.05
_cell_angle_beta 147.05
_cell_angle_gamma 47.29
loop_
_atom_site_label
_atom_site_type_symbol
_atom_site_fract_x
_atom_site_fract_y
_atom_site_fract_z
La1 La 0.000 0.000 0.000
Zr1 Zr 0.250 0.750 0.500
Zr2 Zr 0.750 0.250 0.500
Hg1 Hg 0.398 0.398 0.000
Hg2 Hg 0.602 0.602 0.000
```

***

# 3
A PBEsol-optimized structure of Li2Hg3. Source: Alexandria via LeMat-Bulk, functional SCAN.

Values from the calculation:
Formation energy   -0.29 eV/atom
V   200.0 Å³ per cell
Energy   -42.15 eV per atom
Size of the total moment   0.0 Bohr magnetons per cell

Structure (CIF):
```
data_Li2Hg3
_space_group_name_H-M_alt 'P 1'
_space_group_IT_number 1
_space_group_name_Hall 'P 1'
_cell_length_a 13.518
_cell_length_b 4.966
_cell_length_c 14.226
_cell_angle_alpha 71.72
_cell_angle_beta 20.42
_cell_angle_gamma 87.86
loop_
_atom_site_label
_atom_site_type_symbol
_atom_site_fract_x
_atom_site_fract_y
_atom_site_fract_z
Li1 Li 0.022 0.478 0.082
Li2 Li 0.168 0.832 0.228
Li3 Li 0.478 0.022 0.418
Li4 Li 0.832 0.168 0.772
Hg1 Hg 0.126 0.816 0.567
Hg2 Hg 0.239 0.239 0.761
Hg3 Hg 0.489 0.489 0.011
Hg4 Hg 0.683 0.759 0.124
Hg5 Hg 0.759 0.683 0.434
Hg6 Hg 0.816 0.126 0.491
```

***

# 4
A PBEsol-optimized structure of LiHg2. Source: Alexandria via LeMat-Bulk, functional SCAN.

Values from the calculation:
Formation energy   -0.27 eV/atom
V   63.9 Å³ per cell
Energy   -46.51 eV per atom
Size of the total moment   0.0 Bohr magnetons per cell

Structure (CIF):
```
data_LiHg2
_space_group_name_H-M_alt 'P 1'
_space_group_IT_number 1
_space_group_name_Hall 'P 1'
_cell_length_a 4.549
_cell_length_b 4.549
_cell_length_c 3.087
_cell_angle_alpha 90.00
_cell_angle_beta 90.00
_cell_angle_gamma 90.00
loop_
_atom_site_label
_atom_site_type_symbol
_atom_site_fract_x
_atom_site_fract_y
_atom_site_fract_z
Li1 Li 0.000 0.000 0.000
Hg1 Hg 0.000 0.500 0.500
Hg2 Hg 0.500 0.000 0.500
```

***

# 5
A PBEsol-optimized structure of Li4Hg. Source: Alexandria via LeMat-Bulk, functional SCAN.

Values from the calculation:
Formation energy   -0.32 eV/atom
V   85.8 Å³ per cell
Energy   -15.86 eV per atom
Size of the total moment   0.0 Bohr magnetons per cell

Structure (CIF):
```
data_Li4Hg
_space_group_name_H-M_alt 'P 1'
_space_group_IT_number 1
_space_group_name_Hall 'P 1'
_cell_length_a 4.995
_cell_length_b 4.995
_cell_length_c 4.995
_cell_angle_alpha 99.98
_cell_angle_beta 99.98
_cell_angle_gamma 130.81
loop_
_atom_site_label
_atom_site_type_symbol
_atom_site_fract_x
_atom_site_fract_y
_atom_site_fract_z
Li1 Li 0.105 0.291 0.396
Li2 Li 0.291 0.895 0.185
Li3 Li 0.709 0.105 0.815
Li4 Li 0.895 0.709 0.604
Hg1 Hg 0.500 0.500 0.000
```

***

# 6
A PBEsol-optimized structure of LiHg2. Source: Alexandria via LeMat-Bulk, functional SCAN.

Values from the calculation:
Formation energy   -0.30 eV/atom
V   116.0 Å³ per cell
Energy   -46.54 eV per atom
Size of the total moment   0.0 Bohr magnetons per cell

Structure (CIF):
```
data_LiHg2
_space_group_name_H-M_alt 'P 1'
_space_group_IT_number 1
_space_group_name_Hall 'P 1'
_cell_length_a 4.777
_cell_length_b 4.777
_cell_length_c 5.868
_cell_angle_alpha 90.00
_cell_angle_beta 90.00
_cell_angle_gamma 120.00
loop_
_atom_site_label
_atom_site_type_symbol
_atom_site_fract_x
_atom_site_fract_y
_atom_site_fract_z
Li1 Li 0.333 0.667 0.250
Li2 Li 0.667 0.333 0.750
Hg1 Hg 0.000 0.000 0.000
Hg2 Hg 0.000 0.000 0.500
Hg3 Hg 0.333 0.667 0.750
Hg4 Hg 0.667 0.333 0.250
```

***

# 7
A PBEsol-optimized structure of Li5Hg. Source: Alexandria via LeMat-Bulk, functional SCAN.

Values from the calculation:
Formation energy   -0.26 eV/atom
V   104.9 Å³ per cell
Energy   -13.62 eV per atom
Size of the total moment   0.0 Bohr magnetons per cell

Structure (CIF):
```
data_Li5Hg
_space_group_name_H-M_alt 'P 1'
_space_group_IT_number 1
_space_group_name_Hall 'P 1'
_cell_length_a 4.992
_cell_length_b 4.992
_cell_length_c 5.731
_cell_angle_alpha 105.72
_cell_angle_beta 105.72
_cell_angle_gamma 50.31
loop_
_atom_site_label
_atom_site_type_symbol
_atom_site_fract_x
_atom_site_fract_y
_atom_site_fract_z
Li1 Li 0.000 0.000 0.000
Li2 Li 0.331 0.331 0.655
Li3 Li 0.342 0.342 0.185
Li4 Li 0.658 0.658 0.815
Li5 Li 0.669 0.669 0.345
Hg1 Hg 0.000 0.000 0.500
```

***

# 8
A PBEsol-optimized structure of Li17Hg12. Source: Alexandria via LeMat-Bulk, functional SCAN.

Values from the calculation:
Formation energy   -0.38 eV/atom
V   540.1 Å³ per cell
Energy   -29.99 eV per atom
Size of the total moment   0.0 Bohr magnetons per cell

Structure (CIF):
```
data_Li17Hg12
_space_group_name_H-M_alt 'P 1'
_space_group_IT_number 1
_space_group_name_Hall 'P 1'
_cell_length_a 8.886
_cell_length_b 8.886
_cell_length_c 8.886
_cell_angle_alpha 109.47
_cell_angle_beta 109.47
_cell_angle_gamma 109.47
loop_
_atom_site_label
_atom_site_type_symbol
_atom_site_fract_x
_atom_site_fract_y
_atom_site_fract_z
Li1 Li 0.000 0.000 0.000
Li2 Li 0.000 0.000 0.350
Li3 Li 0.000 0.310 0.584
Li4 Li 0.000 0.350 0.000
Li5 Li 0.000 0.584 0.310
Li6 Li 0.274 0.690 0.690
Li7 Li 0.310 0.000 0.584
Li8 Li 0.310 0.584 0.000
Li9 Li 0.350 0.000 0.000
Li10 Li 0.416 0.416 0.726
Li11 Li 0.416 0.726 0.416
Li12 Li 0.584 0.000 0.310
Li13 Li 0.584 0.310 0.000
Li14 Li 0.650 0.650 0.650
Li15 Li 0.690 0.274 0.690
Li16 Li 0.690 0.690 0.274
Li17 Li 0.726 0.416 0.416
Hg1 Hg 0.000 0.603 0.798
Hg2 Hg 0.000 0.798 0.603
Hg3 Hg 0.196 0.397 0.397
Hg4 Hg 0.202 0.202 0.804
Hg5 Hg 0.202 0.804 0.202
Hg6 Hg 0.397 0.196 0.397
Hg7 Hg 0.397 0.397 0.196
Hg8 Hg 0.603 0.000 0.798
Hg9 Hg 0.603 0.798 0.000
Hg10 Hg 0.798 0.000 0.603
Hg11 Hg 0.798 0.603 0.000
Hg12 Hg 0.804 0.202 0.202
```

***

# 9
A PBEsol-optimized structure of Li5Hg. Source: Alexandria via LeMat-Bulk, functional SCAN.

Values from the calculation:
Formation energy   -0.25 eV/atom
V   106.5 Å³ per cell
Energy   -13.60 eV per atom
Size of the total moment   0.0 Bohr magnetons per cell

Structure (CIF):
```
data_Li5Hg
_space_group_name_H-M_alt 'P 1'
_space_group_IT_number 1
_space_group_name_Hall 'P 1'
_cell_length_a 6.457
_cell_length_b 6.457
_cell_length_c 4.186
_cell_angle_alpha 90.00
_cell_angle_beta 90.00
_cell_angle_gamma 142.40
loop_
_atom_site_label
_atom_site_type_symbol
_atom_site_fract_x
_atom_site_fract_y
_atom_site_fract_z
Li1 Li 0.000 0.000 0.000
Li2 Li 0.161 0.839 0.500
Li3 Li 0.342 0.658 0.000
Li4 Li 0.658 0.342 0.000
Li5 Li 0.839 0.161 0.500
Hg1 Hg 0.500 0.500 0.500
```

***

# 10
A PBEsol-optimized structure of Li5Hg. Source: Alexandria via LeMat-Bulk, functional SCAN.

Values from the calculation:
Formation energy   -0.20 eV/atom
V   111.9 Å³ per cell
Energy   -13.55 eV per atom
Size of the total moment   0.1 Bohr magnetons per cell

Structure (CIF):
```
data_Li5Hg
_space_group_name_H-M_alt 'P 1'
_space_group_IT_number 1
_space_group_name_Hall 'P 1'
_cell_length_a 3.383
_cell_length_b 3.383
_cell_length_c 9.775
_cell_angle_alpha 90.00
_cell_angle_beta 90.00
_cell_angle_gamma 90.00
loop_
_atom_site_label
_atom_site_type_symbol
_atom_site_fract_x
_atom_site_fract_y
_atom_site_fract_z
Li1 Li 0.000 0.000 0.000
Li2 Li 0.000 0.000 0.356
Li3 Li 0.000 0.000 0.644
Li4 Li 0.500 0.500 0.187
Li5 Li 0.500 0.500 0.813
Hg1 Hg 0.500 0.500 0.500
```

***

# 11
A PBEsol-optimized structure of LiHg2. Source: Alexandria via LeMat-Bulk, functional SCAN.

Values from the calculation:
Formation energy   -0.29 eV/atom
V   118.4 Å³ per cell
Energy   -46.53 eV per atom
Size of the total moment   0.0 Bohr magnetons per cell

Structure (CIF):
```
data_LiHg2
_space_group_name_H-M_alt 'P 1'
_space_group_IT_number 1
_space_group_name_Hall 'P 1'
_cell_length_a 5.392
_cell_length_b 5.392
_cell_length_c 6.273
_cell_angle_alpha 108.43
_cell_angle_beta 108.43
_cell_angle_gamma 43.65
loop_
_atom_site_label
_atom_site_type_symbol
_atom_site_fract_x
_atom_site_fract_y
_atom_site_fract_z
Li1 Li 0.166 0.166 0.094
Li2 Li 0.834 0.834 0.906
Hg1 Hg 0.177 0.177 0.607
Hg2 Hg 0.487 0.487 0.227
Hg3 Hg 0.513 0.513 0.773
Hg4 Hg 0.823 0.823 0.393
```

***

# 12
A PBEsol-optimized structure of LiHg2. Source: Alexandria via LeMat-Bulk, functional SCAN.

Values from the calculation:
Formation energy   -0.25 eV/atom
V   475.1 Å³ per cell
Energy   -46.49 eV per atom
Size of the total moment   0.0 Bohr magnetons per cell

Structure (CIF):
```
data_LiHg2
_space_group_name_H-M_alt 'P 1'
_space_group_IT_number 1
_space_group_name_Hall 'P 1'
_cell_length_a 8.759
_cell_length_b 8.759
_cell_length_c 8.759
_cell_angle_alpha 60.00
_cell_angle_beta 60.00
_cell_angle_gamma 60.00
loop_
_atom_site_label
_atom_site_type_symbol
_atom_site_fract_x
_atom_site_fract_y
_atom_site_fract_z
Li1 Li 0.151 0.783 0.783
Li2 Li 0.217 0.217 0.217
Li3 Li 0.217 0.217 0.849
Li4 Li 0.217 0.849 0.217
Li5 Li 0.783 0.151 0.783
Li6 Li 0.783 0.783 0.151
Li7 Li 0.783 0.783 0.783
Li8 Li 0.849 0.217 0.217
Hg1 Hg 0.000 0.000 0.000
Hg2 Hg 0.000 0.000 0.500
Hg3 Hg 0.000 0.500 0.000
Hg4 Hg 0.190 0.190 0.560
Hg5 Hg 0.190 0.560 0.190
Hg6 Hg 0.190 0.560 0.560
Hg7 Hg 0.440 0.440 0.810
Hg8 Hg 0.440 0.810 0.440
Hg9 Hg 0.440 0.810 0.810
Hg10 Hg 0.500 0.000 0.000
Hg11 Hg 0.560 0.190 0.190
Hg12 Hg 0.560 0.190 0.560
Hg13 Hg 0.560 0.560 0.190
Hg14 Hg 0.810 0.440 0.440
Hg15 Hg 0.810 0.440 0.810
Hg16 Hg 0.810 0.810 0.440
```

***

# 13
A PBEsol-optimized structure of LiHg2. Source: Alexandria via LeMat-Bulk, functional SCAN.

Values from the calculation:
Formation energy   -0.27 eV/atom
V   61.4 Å³ per cell
Energy   -46.51 eV per atom
Size of the total moment   0.0 Bohr magnetons per cell

Structure (CIF):
```
data_LiHg2
_space_group_name_H-M_alt 'P 1'
_space_group_IT_number 1
_space_group_name_Hall 'P 1'
_cell_length_a 3.195
_cell_length_b 3.195
_cell_length_c 6.950
_cell_angle_alpha 90.00
_cell_angle_beta 90.00
_cell_angle_gamma 120.00
loop_
_atom_site_label
_atom_site_type_symbol
_atom_site_fract_x
_atom_site_fract_y
_atom_site_fract_z
Li1 Li 0.000 0.000 0.000
Hg1 Hg 0.333 0.667 0.311
Hg2 Hg 0.667 0.333 0.689
```